Arrangement i

5
Lattice="1.364 0.788 11.227 -1.364 0.788 11.227 0.000 -1.575 11.227" Properties=species:S:1:pos:R:3 comment="Tc3Os2 | the Alexandria database | PBE-GGA | relaxed" dos_at_fermi_per_ev_atom=1.16 pbc="T T T"
Tc 0.000 0.000 0.000
Tc 0.000 0.000 6.718
Tc 0.000 0.000 26.963
Os 0.000 0.000 13.456
Os 0.000 0.000 20.225


Arrangement ii

10
Lattice="0.000 6.563 2.391 4.682 0.000 2.391 4.682 6.563 0.000" Properties=species:S:1:pos:R:3 comment="Tc3Os2 | the Alexandria database | PBE-GGA | relaxed" dos_at_fermi_per_ev_atom=1.02 pbc="T T T"
Tc 0.000 0.000 0.000
Tc 2.341 3.282 1.195
Tc 4.208 5.245 2.290
Tc 5.157 7.881 2.290
Tc 7.498 8.527 3.486
Tc 6.549 11.163 3.486
Os 4.979 2.673 2.173
Os 6.727 5.954 3.368
Os 4.386 10.454 2.173
Os 2.638 7.172 3.368


Top of the stability list: arrangement i, leading by 58 meV/atom.


Arrangement i

10
Lattice="0.000 6.541 2.389 4.689 0.000 2.389 4.689 6.541 0.000" Properties=species:S:1:pos:R:3 comment="Tc2Os3 | the Alexandria database | PBE-GGA | relaxed" dos_at_fermi_per_ev_atom=0.88 pbc="T T T"
Tc 5.006 3.881 2.389
Tc 6.716 7.152 3.584
Tc 4.372 9.200 2.389
Tc 7.350 12.470 3.584
Os 4.243 1.287 2.298
Os 1.899 1.983 1.104
Os 2.790 4.558 1.104
Os 4.689 6.541 2.204
Os 7.033 9.811 3.398
Os 5.134 11.794 2.298


Arrangement ii

5
Lattice="1.364 0.787 11.208 -1.364 0.787 11.208 0.000 -1.575 11.208" Properties=species:S:1:pos:R:3 comment="Tc2Os3 | the Alexandria database | PBE-GGA | relaxed" dos_at_fermi_per_ev_atom=0.88 pbc="T T T"
Tc 0.000 0.000 3.340
Tc 0.000 0.000 30.283
Os 0.000 0.000 10.063
Os 0.000 0.000 16.812
Os 0.000 0.000 23.561


Arrangement iii

5
Lattice="4.168 0.000 0.000 -2.084 3.609 0.000 0.000 0.000 5.370" Properties=species:S:1:pos:R:3 comment="Tc2Os3 | the Alexandria database | PBE-GGA | relaxed" dos_at_fermi_per_ev_atom=0.67 pbc="T T T"
Tc 0.000 2.406 1.830
Tc 2.084 1.203 3.539
Os 0.000 0.000 2.685
Os 0.000 2.406 4.656
Os 2.084 1.203 0.713


Top of the stability list: arrangement ii, leading by 62 meV/atom.


Arrangement i

5
Lattice="4.580 0.000 0.000 0.000 4.580 0.000 0.000 0.000 4.580" Properties=species:S:1:pos:R:3 comment="TcOs4 | the Alexandria database | PBE-GGA | relaxed" dos_at_fermi_per_ev_atom=2.22 pbc="T T T"
Tc 0.000 0.000 0.000
Os 0.000 0.000 2.290
Os 0.000 2.290 0.000
Os 2.290 0.000 0.000
Os 2.290 2.290 2.290


Arrangement ii

5
Lattice="-3.053 3.053 1.928 3.053 -3.053 1.928 3.053 3.053 -1.928" Properties=species:S:1:pos:R:3 comment="TcOs4 | the Alexandria database | PBE-GGA | relaxed" dos_at_fermi_per_ev_atom=0.97 pbc="T T T"
Tc 0.000 0.000 0.000
Os 2.443 1.214 0.000
Os 1.839 -0.610 1.928
Os 1.214 3.664 0.000
Os 0.610 1.839 1.928


Arrangement iii

5
Lattice="-1.877 1.877 5.824 1.877 -1.877 5.824 1.877 1.877 -5.824" Properties=species:S:1:pos:R:3 comment="TcOs4 | the Alexandria database | PBE-GGA | relaxed" dos_at_fermi_per_ev_atom=0.99 pbc="T T T"
Tc 0.000 0.000 0.000
Os 1.877 0.000 2.912
Os 0.000 0.000 4.640
Os 0.000 0.000 7.009
Os 0.000 1.877 2.912


Top of the stability list: arrangement ii, leading by 723 meV/atom.


Arrangement i

7
Lattice="4.963 0.000 0.000 -2.481 4.298 0.000 0.000 0.000 4.887" Properties=species:S:1:pos:R:3 comment="Tc3Os4 | the Alexandria database | PBE-GGA | relaxed" dos_at_fermi_per_ev_atom=1.11 pbc="T T T"
Tc -1.241 2.149 0.000
Tc 2.481 0.000 0.000
Tc 1.241 2.149 0.000
Os 0.000 0.000 1.249
Os 0.000 0.000 3.638
Os 0.000 2.865 2.443
Os 2.481 1.433 2.443


Arrangement ii

7
Lattice="-1.624 1.624 9.822 1.624 -1.624 9.822 1.624 1.624 -9.822" Properties=species:S:1:pos:R:3 comment="Tc3Os4 | the Alexandria database | PBE-GGA | relaxed" dos_at_fermi_per_ev_atom=1.72 pbc="T T T"
Tc 0.000 0.000 0.000
Tc 0.000 0.000 5.649
Tc 0.000 0.000 13.994
Os 0.000 0.000 2.807
Os 0.000 0.000 8.411
Os 0.000 0.000 11.232
Os 0.000 0.000 16.837


Top of the stability list: arrangement i, leading by 130 meV/atom.


Arrangement i

6
Lattice="4.964 -1.376 0.000 4.964 1.376 0.000 -1.520 0.000 6.283" Properties=species:S:1:pos:R:3 comment="TcOs5 | the Alexandria database | PBE-GGA | relaxed" dos_at_fermi_per_ev_atom=0.59 pbc="T T T"
Tc 0.000 0.000 0.000
Os 2.666 0.000 0.342
Os 2.297 0.000 4.189
Os 4.972 0.000 4.534
Os 6.118 0.000 2.093
Os 8.790 0.000 2.436


Arrangement ii

6
Lattice="0.000 3.586 3.586 3.586 0.000 3.586 3.586 3.586 0.000" Properties=species:S:1:pos:R:3 comment="TcOs5 | the Alexandria database | PBE-GGA | relaxed" dos_at_fermi_per_ev_atom=1.45 pbc="T T T"
Tc 0.000 0.000 0.000
Os 2.690 2.690 2.690
Os 4.481 4.481 2.690
Os 4.481 2.690 4.481
Os 5.378 5.378 5.378
Os 2.690 4.481 4.481


Top of the stability list: arrangement i, leading by 811 meV/atom.


Arrangement i

6
Lattice="4.359 0.000 0.000 0.000 1.377 7.154 0.000 -1.377 7.154" Properties=species:S:1:pos:R:3 comment="TcOs5 | the Alexandria database | PBE-GGA | relaxed" dos_at_fermi_per_ev_atom=0.86 pbc="T T T"
Tc 0.000 0.000 0.000
Os 0.000 0.000 4.784
Os 0.000 0.000 9.554
Os 2.180 0.000 3.180
Os 2.180 0.000 7.961
Os 2.180 0.000 12.736


Arrangement ii

6
Lattice="2.728 0.000 0.000 0.000 2.728 0.000 0.000 0.000 11.598" Properties=species:S:1:pos:R:3 comment="TcOs5 | the Alexandria database | PBE-GGA | relaxed" dos_at_fermi_per_ev_atom=0.84 pbc="T T T"
Tc 0.000 0.000 0.000
Os 0.000 0.000 3.871
Os 0.000 0.000 7.727
Os 1.364 1.364 1.949
Os 1.364 1.364 5.799
Os 1.364 1.364 9.649


Arrangement iii

6
Lattice="4.779 0.000 0.000 -2.389 4.139 0.000 0.000 0.000 4.340" Properties=species:S:1:pos:R:3 comment="TcOs5 | the Alexandria database | PBE-GGA | relaxed" dos_at_fermi_per_ev_atom=0.49 pbc="T T T"
Tc 0.000 0.000 0.000
Os -1.592 2.757 2.170
Os 0.000 2.759 0.000
Os 0.798 1.382 2.170
Os 3.184 0.000 2.170
Os 2.389 1.380 0.000


Top of the stability list: arrangement iii, leading by 18 meV/atom.


Arrangement i

6
Lattice="5.048 0.000 0.000 -2.524 4.371 0.000 0.000 0.000 4.433" Properties=species:S:1:pos:R:3 comment="TcOs5 | the Alexandria database | PBE-GGA | relaxed" dos_at_fermi_per_ev_atom=1.43 pbc="T T T"
Tc 0.000 0.000 0.000
Os -1.262 2.186 2.217
Os 0.000 2.914 0.000
Os 2.524 0.000 2.217
Os 1.262 2.186 2.217
Os 2.524 1.457 0.000


Arrangement ii

6
Lattice="1.927 -5.768 0.000 1.927 5.768 0.000 0.000 0.000 3.882" Properties=species:S:1:pos:R:3 comment="TcOs5 | the Alexandria database | PBE-GGA | relaxed" dos_at_fermi_per_ev_atom=1.08 pbc="T T T"
Tc 0.000 0.000 0.000
Os 1.927 3.845 1.941
Os 1.927 1.924 0.000
Os 1.927 0.000 1.941
Os 1.927 -1.924 0.000
Os 1.927 -3.845 1.941


Top of the stability list: arrangement ii, leading by 871 meV/atom.


Arrangement i

4
Lattice="1.622 0.937 8.897 -1.622 0.937 8.897 0.000 -1.873 8.897" Properties=species:S:1:pos:R:3 comment="TcTe2Os | the Alexandria database | PBE-GGA | relaxed" dos_at_fermi_per_ev_atom=0.92 pbc="T T T"
Tc 0.000 0.000 0.000
Te 0.000 0.000 10.833
Te 0.000 0.000 15.859
Os 0.000 0.000 13.346


Arrangement ii

4
Lattice="3.014 0.000 0.000 0.000 3.014 0.000 0.000 0.000 9.475" Properties=species:S:1:pos:R:3 comment="TcTe2Os | the Alexandria database | PBE-GGA | relaxed" dos_at_fermi_per_ev_atom=0.56 pbc="T T T"
Tc 0.000 0.000 0.000
Te 0.000 0.000 5.773
Te 1.507 1.507 2.065
Os 1.507 1.507 7.919


Arrangement iii

4
Lattice="3.204 0.000 0.000 0.000 4.430 0.000 0.000 0.000 5.456" Properties=species:S:1:pos:R:3 comment="TcTe2Os | the Alexandria database | PBE-GGA | relaxed" dos_at_fermi_per_ev_atom=1.30 pbc="T T T"
Tc 0.000 0.000 0.000
Te 0.000 2.215 2.728
Te 1.602 2.215 0.000
Os 1.602 0.000 2.728


Arrangement iv

4
Lattice="-1.976 1.976 4.772 1.976 -1.976 4.772 1.976 1.976 -4.772" Properties=species:S:1:pos:R:3 comment="TcTe2Os | the Alexandria database | PBE-GGA | relaxed" dos_at_fermi_per_ev_atom=1.18 pbc="T T T"
Tc 0.000 0.000 0.000
Te 1.976 0.000 2.386
Te 0.000 0.000 4.772
Os 0.000 1.976 2.386


Top of the stability list: arrangement ii, leading by 383 meV/atom.